Entry 1:
AcPuSi2 (GGA-PBE, optimized geometry); SG = Pnma (62); size of the total moment = 0.409 μB/atom; raw total energy = -7.69 eV per atom
1.0
8.8113 0.0000 0.0000
0.0000 3.8848 0.0000
0.0000 0.0000 10.9105
Ac Pu Si
4 4 8
direct
0.1292 0.2500 0.1379 Ac
0.3708 0.7500 0.6379 Ac
0.6292 0.2500 0.3621 Ac
0.8708 0.7500 0.8621 Ac
0.0048 0.7500 0.4370 Pu
0.4952 0.2500 0.9370 Pu
0.5048 0.7500 0.0630 Pu
0.9952 0.2500 0.5630 Pu
0.1615 0.2500 0.8074 Si
0.2408 0.7500 0.9248 Si
0.2592 0.2500 0.4248 Si
0.3385 0.7500 0.3074 Si
0.6615 0.2500 0.6926 Si
0.7408 0.7500 0.5752 Si
0.7592 0.2500 0.0752 Si
0.8385 0.7500 0.1926 Si

=====

Entry 2:
AcPuSi2 (GGA-PBE, optimized geometry); SG = P4/mmm (123); size of the total moment = 1.390 μB/atom; raw total energy = -7.49 eV per atom
1.0
5.4701 0.0000 0.0000
0.0000 5.4701 0.0000
0.0000 0.0000 3.3153
Ac Pu Si
1 1 2
direct
0.0000 0.0000 0.0000 Ac
0.5000 0.5000 0.0000 Pu
0.0000 0.5000 0.5000 Si
0.5000 0.0000 0.5000 Si

=====

Entry 3:
AcPuSi2 (GGA-PBE, optimized geometry); SG = P4/mmm (123); size of the total moment = 1.422 μB/atom; raw total energy = -7.69 eV per atom
1.0
3.8750 0.0000 0.0000
0.0000 3.8750 0.0000
0.0000 0.0000 6.4755
Ac Pu Si
1 1 2
direct
0.0000 0.0000 0.0000 Ac
0.0000 0.0000 0.5000 Pu
0.5000 0.5000 0.3112 Si
0.5000 0.5000 0.6888 Si

=====

Entry 4:
AcPuSi2Tc (GGA-PBE, optimized geometry); SG = I-4m2 (119); size of the total moment = 0.901 μB/atom; raw total energy = -8.25 eV per atom
1.0
-2.1293 2.1293 6.0307
2.1293 -2.1293 6.0307
2.1293 2.1293 -6.0307
Ac Pu Si Tc
1 1 2 1
direct
0.0000 0.0000 0.0000 Ac
0.7500 0.2500 0.5000 Pu
0.3988 0.3988 0.0000 Si
0.6012 0.6012 0.0000 Si
0.2500 0.7500 0.5000 Tc

=====

| no. | formation energy (no corrections) (meV per atom) | V (Å³ per atom) |
| --- | --- | --- |
| 1 | -371 | 23.34 |
| 2 | -167 | 24.80 |
| 3 | -369 | 24.31 |
| 4 | -315 | 21.87 |